ScMoPb2 | PBE | relaxed

Results
* calculated volume: 24.352 Å³/atom
* calculated density: 9.47 g cm⁻³
* DOS at the Fermi energy: 3.4 states/eV per cell
* calculated formation energy: 0.485 eV/atom
* symmetry: I-42d (122)

a b c (Å): 7.9046 7.9046 6.4002
angles (deg): 51.86 51.86 90.00
Last column: nearest neighbours and their distance in Å.
Fractional positions:
Pb (0.3750, 0.3585, 0.7500)  2 Mo 2.81, 2 Sc 2.99, 2 Pb 3.13
Pb (0.1085, 0.6250, 0.2500)  2 Mo 2.81, 2 Sc 2.99, 2 Pb 3.13
Pb (0.8750, 0.8915, 0.7500)  2 Mo 2.81, 2 Sc 2.99, 2 Pb 3.13
Pb (0.6415, 0.1250, 0.2500)  2 Mo 2.81, 2 Sc 2.99, 2 Pb 3.13
Sc (0.2500, 0.7500, 0.5000)  4 Pb 2.99, 2 Mo 3.12
Sc (0.5000, 0.5000, 0.0000)  4 Pb 2.99, 2 Mo 3.12
Mo (0.7500, 0.2500, 0.5000)  4 Pb 2.81, 2 Sc 3.12
Mo (0.0000, 0.0000, 0.0000)  4 Pb 2.81, 2 Sc 3.12

***

Sc2Mo2Pb | PBE | relaxed

Results
* calculated volume: 22.631 Å³/atom
* calculated density: 7.18 g cm⁻³
* DOS at the Fermi energy: 8.7 states/eV per cell
* calculated formation energy: 0.786 eV/atom
* symmetry: I4/mmm (139)

a b c (Å): 4.3041 4.3041 6.8242
angles (deg): 71.62 71.62 90.00
Last column: nearest neighbours and their distance in Å.
Fractional positions:
Pb (0.0000, 0.0000, 0.0000)  8 Mo 3.24
Sc (0.7500, 0.2500, 0.5000)  4 Mo 2.90, 4 Sc 3.04
Sc (0.2500, 0.7500, 0.5000)  4 Mo 2.90, 4 Sc 3.04
Mo (0.4096, 0.4096, 0.1807)  1 Mo 2.21
Mo (0.5904, 0.5904, 0.8193)  1 Mo 2.21

***

ScMo3Pb | PBE | relaxed

Results
* calculated volume: 20.960 Å³/atom
* calculated density: 8.56 g cm⁻³
* DOS at the Fermi energy: 5.7 states/eV per cell
* calculated formation energy: 1.809 eV/atom
* symmetry: Pm-3m (221)

a b c (Å): 4.7147 4.7147 4.7147
angles (deg): 90.00 90.00 90.00
Last column: nearest neighbours and their distance in Å.
Fractional positions:
Sc (0.0000, 0.0000, 0.0000)  6 Mo 2.36
Pb (0.5000, 0.5000, 0.5000)  12 Mo 3.33
Mo (0.0000, 0.5000, 0.0000)  2 Sc 2.36
Mo (0.0000, 0.0000, 0.5000)  2 Sc 2.36
Mo (0.5000, 0.0000, 0.0000)  2 Sc 2.36

***

Sc3MoPb | PBE | relaxed

Results
* calculated volume: 25.901 Å³/atom
* calculated density: 5.62 g cm⁻³
* DOS at the Fermi energy: 5.8 states/eV per cell
* calculated formation energy: 0.319 eV/atom
* symmetry: Pm-3m (221)

a b c (Å): 5.0594 5.0594 5.0594
angles (deg): 90.00 90.00 90.00
Last column: nearest neighbours and their distance in Å.
Fractional positions:
Sc (0.0000, 0.5000, 0.0000)  2 Mo 2.53
Sc (0.5000, 0.0000, 0.0000)  2 Mo 2.53
Sc (0.0000, 0.0000, 0.5000)  2 Mo 2.53
Pb (0.5000, 0.5000, 0.5000)  12 Sc 3.58
Mo (0.0000, 0.0000, 0.0000)  6 Sc 2.53

***

Sc3MoPb | PBE | relaxed

Results
* calculated volume: 30.773 Å³/atom
* calculated density: 4.73 g cm⁻³
* DOS at the Fermi energy: 10.5 states/eV per cell
* calculated formation energy: 1.154 eV/atom
* symmetry: Pm-3m (221)

a b c (Å): 5.3586 5.3586 5.3586
angles (deg): 90.00 90.00 90.00
Last column: nearest neighbours and their distance in Å.
Fractional positions:
Sc (0.0000, 0.0000, 0.5000)  2 Pb 2.68
Sc (0.0000, 0.5000, 0.0000)  2 Pb 2.68
Sc (0.5000, 0.0000, 0.0000)  2 Pb 2.68
Mo (0.5000, 0.5000, 0.5000)  12 Sc 3.79
Pb (0.0000, 0.0000, 0.0000)  6 Sc 2.68

***

ScMoPb2 | PBE | relaxed

Results
* calculated volume: 21.547 Å³/atom
* calculated density: 10.70 g cm⁻³
* DOS at the Fermi energy: 3.8 states/eV per cell
* calculated formation energy: 0.272 eV/atom
* symmetry: Fm-3m (225)

a b c (Å): 4.9582 4.9582 4.9582
angles (deg): 60.00 60.00 60.00
Last column: nearest neighbours and their distance in Å.
Fractional positions:
Pb (0.7500, 0.7500, 0.7500)  4 Mo 3.04, 4 Sc 3.04
Pb (0.2500, 0.2500, 0.2500)  4 Mo 3.04, 4 Sc 3.04
Mo (0.5000, 0.5000, 0.5000)  8 Pb 3.04
Sc (0.0000, 0.0000, 0.0000)  8 Pb 3.04

***

ScMoPb2 | PBE | relaxed

Results
* calculated volume: 25.045 Å³/atom
* calculated density: 9.20 g cm⁻³
* DOS at the Fermi energy: 2.9 states/eV per cell
* calculated formation energy: 0.268 eV/atom
* symmetry: Cmm2 (35)

a b c (Å): 3.1174 3.1174 10.7710
angles (deg): 90.00 90.00 106.86
Last column: nearest neighbours and their distance in Å.
Fractional positions:
Pb (0.0000, 0.0000, 0.9452)  2 Mo 2.97, 4 Pb 3.12
Pb (0.5000, 0.5000, 0.2858)  4 Pb 3.12, 2 Sc 3.30
Mo (0.5000, 0.5000, 0.7302)  2 Sc 2.77, 2 Pb 2.97
Sc (0.0000, 0.0000, 0.5388)  2 Mo 2.77

***

ScMoPb2 | PBE | relaxed

Results
* calculated volume: 22.914 Å³/atom
* calculated density: 10.06 g cm⁻³
* DOS at the Fermi energy: 3.1 states/eV per cell
* calculated formation energy: 0.330 eV/atom
* symmetry: Pm (6)

a b c (Å): 4.7178 3.4186 5.9693
angles (deg): 72.18 90.00 90.00
Last column: nearest neighbours and their distance in Å.
Fractional positions:
Pb (0.5000, 0.2535, 0.2913)  2 Mo 2.85-3.10, 2 Sc 3.07
Pb (0.0000, 0.9665, 0.9549)  2 Sc 2.90-3.12, 2 Mo 2.95
Mo (0.5000, 0.6829, 0.7527)  4 Pb 2.85-3.10, 2 Sc 2.86
Sc (0.0000, 0.5971, 0.5012)  2 Mo 2.86, 4 Pb 2.90-3.12

***

Sc2SiMoPb | PBE | relaxed

Results
* calculated volume: 24.572 Å³/atom
* calculated density: 5.69 g cm⁻³
* DOS at the Fermi energy: 5.3 states/eV per cell
* formation energy from raw total energies: 293 meV/atom
* symmetry: P4/mmm (123)

a b c (Å): 5.0726 4.7746 5.0726
angles (deg): 90.00 90.00 90.00
Last column: nearest neighbours and their distance in Å.
Fractional positions:
Sc (0.0000, 0.0000, 0.5000)  2 Mo 2.54
Sc (0.5000, 0.0000, 0.0000)  2 Mo 2.54
Mo (0.0000, 0.0000, 0.0000)  2 Si 2.39, 4 Sc 2.54
Si (0.0000, 0.5000, 0.0000)  2 Mo 2.39
Pb (0.5000, 0.5000, 0.5000)  8 Sc 3.48, 4 Si 3.59

***

ScSiMo2Pb | PBE | relaxed

Results
* calculated volume: 28.044 Å³/atom
* calculated density: 5.59 g cm⁻³
* DOS at the Fermi energy: 6.1 states/eV per cell
* formation energy from raw total energies: 1987 meV/atom
* symmetry: P4/mmm (123)

a b c (Å): 5.1576 5.2713 5.1576
angles (deg): 90.00 90.00 90.00
Last column: nearest neighbours and their distance in Å.
Fractional positions:
Mo (0.0000, 0.0000, 0.5000)  2 Pb 2.58
Mo (0.5000, 0.0000, 0.0000)  2 Pb 2.58
Sc (0.0000, 0.5000, 0.0000)  2 Pb 2.64
Si (0.5000, 0.5000, 0.5000)  4 Sc 3.65, 8 Mo 3.69
Pb (0.0000, 0.0000, 0.0000)  4 Mo 2.58, 2 Sc 2.64